1.
LiCa2Ir after structural relaxation, computed with PBE-GGA.

Properties
Energy of formation, meV/atom: -7
Distance to the lowest polymorph of the same formula, eV per atom: 0.220
Total moment, μB per cell: 0.00

Cell: 6.987 6.987 6.987 Å, 90.00 90.00 90.00°
Space group F-43m (No. 216)
Unique sites:
Li  0.000  0.000  0.000 x4
Ca  0.000  0.000  0.500 x4
Ca  0.250  0.250  0.750 x4
Ir  0.250  0.250  0.250 x4

2.
PmGa4Tc after structural relaxation, computed with PBE-GGA.

Properties
Energy of formation, meV/atom: -410
Distance to the lowest polymorph of the same formula, eV per atom: 0.000
Total moment, μB per cell: 0.00

Cell: 7.778 4.130 7.136 Å, 90.00 90.00 90.00°
Space group Pmma (No. 51)
Unique sites:
Pm  0.250  0.000  0.140 x2
Ga  0.000  0.000  0.500 x2
Ga  0.067  0.500  0.826 x4
Ga  0.250  0.500  0.462 x2
Tc  0.250  0.000  0.702 x2

3.
Mo4As after structural relaxation, computed with PBE-GGA.

Properties
Energy of formation, meV/atom: 11
Distance to the lowest polymorph of the same formula, eV per atom: 0.000
Total moment, μB per cell: 0.00

Cell: 6.945 6.945 3.214 Å, 90.00 90.00 90.00°
Space group I4/m (No. 87)
Unique sites:
Mo  0.101  0.300  0.000 x8
As  0.000  0.000  0.500 x2

Question: Look up the distance to the lowest polymorph of the same formula of the first one.
Answer: 0.220 eV per atom